[1]
TcAsCBr2 | PBE | relaxed

Calculated values
**Density of states at the Fermi level**: 3.62 states/eV/cell
**Raw total energy**: -3.869 eV/atom
**Polymorph energy (0 for the lowest one)**: 0 meV/atom
**Magnetization**: 3.234 μB/f.u.

Geometry as POSCAR:
```
TcAsCBr2
1.0
5.160 0.000 0.000
0.000 5.160 0.000
0.000 0.000 4.775
Tc As C Br
1 1 1 2
direct
0.000 0.000 0.000
0.000 0.000 0.500
0.500 0.500 0.500
0.000 0.500 0.000
0.500 0.000 0.000
```

---

[2]
Rb2NiBi | PBE | relaxed

Calculated values
**Density of states at the Fermi level**: 13.43 states/eV/cell
**Raw total energy**: -2.864 eV/atom
**Calculated formation energy**: 3.4 kJ/mol of atoms
**Magnetization**: 0.000 μB/f.u.

Geometry as POSCAR:
```
Rb2NiBi
1.0
13.128 0.000 0.000
0.000 13.128 0.000
0.000 0.000 4.897
Rb Ni Bi
8 4 4
direct
0.049 0.250 0.125
0.250 0.549 0.375
0.250 0.951 0.875
0.451 0.250 0.625
0.549 0.750 0.625
0.750 0.049 0.875
0.750 0.451 0.375
0.951 0.750 0.125
0.000 0.000 0.000
0.000 0.500 0.250
0.500 0.000 0.750
0.500 0.500 0.500
0.000 0.000 0.500
0.000 0.500 0.750
0.500 0.000 0.250
0.500 0.500 0.000
```

---

[3]
Mg2CrFe | PBE | relaxed

Calculated values
**Density of states at the Fermi level**: 2.93 states/eV/cell
**Raw total energy**: -4.952 eV/atom
**Calculated formation energy**: 35.4 kJ/mol of atoms
**Polymorph energy (0 for the lowest one)**: 172 meV/atom
**Magnetization**: 1.036 μB/f.u.

Geometry as POSCAR:
```
Mg2CrFe
1.0
2.728 0.000 0.000
0.000 4.041 0.000
-1.268 0.000 5.520
Mg Cr Fe
2 1 1
direct
0.000 0.000 0.000
0.305 0.500 0.701
0.700 0.500 0.262
0.581 0.000 0.438
```

---

[4]
Er6Mn2Zn | PBE | relaxed

Calculated values
**Density of states at the Fermi level**: 19.47 states/eV/cell
**Raw total energy**: -5.251 eV/atom
**Calculated formation energy**: -2.8 kJ/mol of atoms
**Magnetization**: 1.851 μB/f.u.

Geometry as POSCAR:
```
Er6Mn2Zn
1.0
-4.683 4.721 4.883
4.683 -4.721 4.883
4.683 4.721 -4.883
Er Mn Zn
12 4 2
direct
0.023 0.815 0.208
0.232 0.525 0.293
0.232 0.939 0.707
0.279 0.314 0.594
0.279 0.686 0.965
0.393 0.185 0.208
0.607 0.815 0.792
0.721 0.314 0.035
0.721 0.686 0.406
0.768 0.061 0.293
0.768 0.475 0.707
0.977 0.185 0.792
0.000 0.116 0.116
0.000 0.884 0.884
0.394 0.394 0.000
0.606 0.606 0.000
0.000 0.500 0.500
0.500 0.000 0.500
```

---

[5]
LiInSnSb | PBE | relaxed

Calculated values
**Density of states at the Fermi level**: 10.43 states/eV/cell
**Raw total energy**: -3.257 eV/atom
**Magnetization**: 0.000 μB/f.u.

Geometry as POSCAR:
```
LiInSnSb
1.0
7.424 0.000 0.000
0.000 7.424 0.000
0.000 0.000 7.424
Li In Sn Sb
4 4 4 4
direct
0.000 0.000 0.000
0.000 0.500 0.500
0.500 0.000 0.500
0.500 0.500 0.000
0.250 0.250 0.750
0.250 0.750 0.250
0.750 0.250 0.250
0.750 0.750 0.750
0.000 0.000 0.500
0.000 0.500 0.000
0.500 0.000 0.000
0.500 0.500 0.500
0.250 0.250 0.250
0.250 0.750 0.750
0.750 0.250 0.750
0.750 0.750 0.250
```

---

[6]
AcTbCoI | PBE | relaxed

Calculated values
**Density of states at the Fermi level**: 1.79 states/eV/cell
**Raw total energy**: -4.925 eV/atom
**Magnetization**: 0.000 μB/f.u.

Geometry as POSCAR:
```
AcTbCoI
1.0
4.098 0.000 0.000
-2.049 3.549 0.000
0.000 0.000 24.939
Ac Tb Co I
3 3 3 3
direct
0.000 0.000 0.000
0.333 0.667 0.667
0.667 0.333 0.333
0.000 0.000 0.214
0.333 0.667 0.880
0.667 0.333 0.547
0.000 0.000 0.603
0.333 0.667 0.270
0.667 0.333 0.936
0.000 0.000 0.784
0.333 0.667 0.450
0.667 0.333 0.117
```

---

[7]
MnSb2IBr | PBE | relaxed

Calculated values
**Density of states at the Fermi level**: 6.79 states/eV/cell
**Raw total energy**: -2.456 eV/atom
**Polymorph energy (0 for the lowest one)**: 1346 meV/atom
**Magnetization**: 0.974 μB/f.u.

Geometry as POSCAR:
```
MnSb2IBr
1.0
5.568 0.000 0.000
0.000 5.568 0.000
0.000 0.000 5.579
Mn Sb I Br
1 2 1 1
direct
0.000 0.000 0.000
0.000 0.500 0.500
0.500 0.000 0.500
0.500 0.500 0.000
0.500 0.500 0.500
```

---

[8]
Pm2CdAs | PBE | relaxed

Calculated values
**Density of states at the Fermi level**: 15.79 states/eV/cell
**Raw total energy**: -4.359 eV/atom
**Calculated formation energy**: -57.1 kJ/mol of atoms
**Polymorph energy (0 for the lowest one)**: 228 meV/atom
**Magnetization**: 0.000 μB/f.u.

Geometry as POSCAR:
```
Pm2CdAs
1.0
7.448 0.000 0.000
0.000 7.448 0.000
0.000 0.000 7.448
Pm Cd As
8 4 4
direct
0.250 0.250 0.250
0.250 0.250 0.750
0.250 0.750 0.250
0.250 0.750 0.750
0.750 0.250 0.250
0.750 0.250 0.750
0.750 0.750 0.250
0.750 0.750 0.750
0.000 0.000 0.000
0.000 0.500 0.500
0.500 0.000 0.500
0.500 0.500 0.000
0.000 0.000 0.500
0.000 0.500 0.000
0.500 0.000 0.000
0.500 0.500 0.500
```

---

[9]
CaNi2Sn3 | PBE | relaxed

Calculated values
**Density of states at the Fermi level**: 8.67 states/eV/cell
**Raw total energy**: -4.571 eV/atom
**Calculated formation energy**: -29.8 kJ/mol of atoms
**Magnetization**: 0.000 μB/f.u.

Geometry as POSCAR:
```
CaNi2Sn3
1.0
8.570 -2.159 0.000
8.570 2.159 0.000
-3.649 0.000 10.228
Ca Ni Sn
3 6 9
direct
0.000 0.000 0.000
0.156 0.156 0.702
0.844 0.844 0.298
0.197 0.197 0.121
0.365 0.365 0.569
0.481 0.481 0.225
0.519 0.519 0.775
0.635 0.635 0.431
0.803 0.803 0.879
0.042 0.042 0.338
0.226 0.226 0.382
0.330 0.330 0.058
0.375 0.375 0.819
0.500 0.500 0.500
0.625 0.625 0.181
0.670 0.670 0.942
0.774 0.774 0.618
0.958 0.958 0.662
```

---

[10]
CePmAl | PBE | relaxed

Calculated values
**Density of states at the Fermi level**: 9.45 states/eV/cell
**Raw total energy**: -5.024 eV/atom
**Calculated formation energy**: -20.7 kJ/mol of atoms
**Polymorph energy (0 for the lowest one)**: 0 meV/atom
**Magnetization**: 0.001 μB/f.u.

Geometry as POSCAR:
```
CePmAl
1.0
3.407 0.000 0.000
-0.001 5.253 0.000
-1.610 -0.004 8.580
Ce Pm Al
2 2 2
direct
0.235 0.249 0.026
0.765 0.751 0.974
0.067 0.750 0.624
0.933 0.250 0.376
0.399 0.750 0.283
0.601 0.250 0.717
```

---

[11]
Ce2PPd2Pt4 | PBE | relaxed

Calculated values
**Density of states at the Fermi level**: 12.28 states/eV/cell
**Raw total energy**: -6.606 eV/atom
**Calculated formation energy**: -81.8 kJ/mol of atoms
**Magnetization**: 1.410 μB/f.u.

Geometry as POSCAR:
```
Ce2PPd2Pt4
1.0
-3.132 3.132 4.276
3.132 -3.132 4.276
3.132 3.132 -4.276
Ce P Pd Pt
2 1 2 4
direct
0.250 0.750 0.500
0.750 0.250 0.500
0.000 0.000 0.000
0.274 0.274 0.000
0.726 0.726 0.000
0.266 0.266 0.531
0.266 0.734 0.000
0.734 0.266 0.000
0.734 0.734 0.469
```

---

[12]
AcCeBiCl | PBE | relaxed

Calculated values
**Density of states at the Fermi level**: 34.20 states/eV/cell
**Raw total energy**: -4.946 eV/atom
**Magnetization**: 2.220 μB/f.u.

Geometry as POSCAR:
```
AcCeBiCl
1.0
7.887 0.000 0.000
0.000 7.887 0.000
0.000 0.000 7.887
Ac Ce Bi Cl
4 4 4 4
direct
0.000 0.000 0.000
0.000 0.500 0.500
0.500 0.000 0.500
0.500 0.500 0.000
0.000 0.000 0.500
0.000 0.500 0.000
0.500 0.000 0.000
0.500 0.500 0.500
0.250 0.250 0.250
0.250 0.750 0.750
0.750 0.250 0.750
0.750 0.750 0.250
0.250 0.250 0.750
0.250 0.750 0.250
0.750 0.250 0.250
0.750 0.750 0.750
```

---

[13]
PmPr12Al4O3 | PBE | relaxed

Calculated values
**Density of states at the Fermi level**: 16.17 states/eV/cell
**Raw total energy**: -5.265 eV/atom
**Magnetization**: 0.534 μB/f.u.

Geometry as POSCAR:
```
PmPr12Al4O3
1.0
-5.119 5.119 5.119
5.119 -5.119 5.119
5.119 5.119 -5.119
Pm Pr Al O
1 12 4 3
direct
0.000 0.000 0.000
0.000 0.271 0.271
0.000 0.729 0.729
0.250 0.500 0.750
0.250 0.750 0.500
0.271 0.000 0.271
0.271 0.271 0.000
0.500 0.250 0.750
0.500 0.750 0.250
0.729 0.000 0.729
0.729 0.729 0.000
0.750 0.250 0.500
0.750 0.500 0.250
0.000 0.000 0.500
0.000 0.500 0.000
0.500 0.000 0.000
0.500 0.500 0.500
0.000 0.500 0.500
0.500 0.000 0.500
0.500 0.500 0.000
```

---

[14]
BaAc2CdSe5 | PBE | relaxed

Calculated values
**Raw total energy**: -4.844 eV/atom
**Magnetization**: 0.000 μB/f.u.

Geometry as POSCAR:
```
BaAc2CdSe5
1.0
-4.291 4.291 7.564
4.291 -4.291 7.564
4.291 4.291 -7.564
Ba Ac Cd Se
2 4 2 10
direct
0.250 0.250 0.000
0.750 0.750 0.000
0.159 0.659 0.818
0.341 0.159 0.500
0.659 0.841 0.500
0.841 0.341 0.182
0.250 0.750 0.500
0.750 0.250 0.500
0.000 0.000 0.000
0.023 0.210 0.500
0.210 0.710 0.187
0.290 0.477 0.500
0.477 0.977 0.187
0.500 0.500 0.000
0.523 0.023 0.813
0.710 0.523 0.500
0.790 0.290 0.813
0.977 0.790 0.500
```

---

[15]
Hf2BiAu | PBE | relaxed

Calculated values
**Density of states at the Fermi level**: 2.74 states/eV/cell
**Raw total energy**: -6.924 eV/atom
**Calculated formation energy**: -15.2 kJ/mol of atoms
**Magnetization**: 0.000 μB/f.u.

Geometry as POSCAR:
```
Hf2BiAu
1.0
3.726 0.000 0.000
0.000 3.726 0.000
0.000 0.000 6.302
Hf Bi Au
2 1 1
direct
0.000 0.000 0.239
0.000 0.000 0.761
0.500 0.500 0.500
0.500 0.500 0.000
```

---

[16]
MgScBr2 | PBE | relaxed

Calculated values
**Density of states at the Fermi level**: 14.81 states/eV/cell
**Raw total energy**: -3.317 eV/atom
**Polymorph energy (0 for the lowest one)**: 483 meV/atom
**Magnetization**: 1.083 μB/f.u.

Geometry as POSCAR:
```
MgScBr2
1.0
7.201 0.000 0.000
0.000 7.201 0.000
0.000 0.000 7.201
Mg Sc Br
4 4 8
direct
0.000 0.000 0.000
0.000 0.500 0.500
0.500 0.000 0.500
0.500 0.500 0.000
0.000 0.000 0.500
0.000 0.500 0.000
0.500 0.000 0.000
0.500 0.500 0.500
0.250 0.250 0.250
0.250 0.250 0.750
0.250 0.750 0.250
0.250 0.750 0.750
0.750 0.250 0.250
0.750 0.250 0.750
0.750 0.750 0.250
0.750 0.750 0.750
```

---

[17]
LaTiSn2 | PBE | relaxed

Calculated values
**Density of states at the Fermi level**: 4.75 states/eV/cell
**Raw total energy**: -5.602 eV/atom
**Calculated formation energy**: -38.1 kJ/mol of atoms
**Polymorph energy (0 for the lowest one)**: 33 meV/atom
**Magnetization**: 0.226 μB/f.u.

Geometry as POSCAR:
```
LaTiSn2
1.0
3.767 0.000 0.000
0.000 3.767 0.000
0.000 0.000 6.995
La Ti Sn
1 1 2
direct
0.000 0.000 0.000
0.000 0.000 0.500
0.500 0.500 0.295
0.500 0.500 0.705
```

---

[18]
PaH2SO6 | PBE | relaxed

Calculated values
**Density of states at the Fermi level**: 0.22 states/eV/cell
**Raw total energy**: -6.810 eV/atom
**Magnetization**: 1.003 μB/f.u.

Geometry as POSCAR:
```
PaH2SO6
1.0
4.169 0.000 0.000
-0.381 4.523 0.000
-1.510 -2.114 6.695
Pa H S O
1 2 1 6
direct
0.000 0.000 0.000
0.058 0.054 0.599
0.272 0.608 0.197
0.529 0.418 0.497
0.030 0.039 0.728
0.069 0.546 0.083
0.200 0.205 0.393
0.530 0.033 0.057
0.562 0.543 0.717
0.583 0.654 0.396
```

---

[19]
TbPm3Pr2Dy6 | PBE | relaxed

Calculated values
**Density of states at the Fermi level**: 14.30 states/eV/cell
**Raw total energy**: -4.658 eV/atom
**Calculated formation energy**: 1.3 kJ/mol of atoms
**Magnetization**: 0.000 μB/f.u.

Geometry as POSCAR:
```
TbPm3Pr2Dy6
1.0
3.122 -5.406 0.000
3.122 5.406 0.000
-2.075 0.000 11.683
Tb Pm Pr Dy
1 3 2 6
direct
0.000 0.000 0.000
0.167 0.833 0.500
0.500 0.500 0.500
0.833 0.167 0.500
0.334 0.666 0.000
0.666 0.334 0.000
0.084 0.416 0.250
0.249 0.249 0.749
0.416 0.084 0.250
0.584 0.916 0.750
0.751 0.751 0.251
0.916 0.584 0.750
```

---

[20]
GdPd3 | PBE | relaxed

Calculated values
**Density of states at the Fermi level**: 5.35 states/eV/cell
**Raw total energy**: -8.159 eV/atom
**Calculated formation energy**: -71.8 kJ/mol of atoms
**Magnetization**: 7.178 μB/f.u.

Geometry as POSCAR:
```
GdPd3
1.0
4.205 0.000 0.000
0.000 4.205 0.000
0.000 0.000 8.202
Gd Pd
2 6
direct
0.000 0.000 0.000
0.500 0.500 0.500
0.000 0.000 0.500
0.000 0.500 0.250
0.000 0.500 0.750
0.500 0.000 0.250
0.500 0.000 0.750
0.500 0.500 0.000
```